Density functional theory data (PBE) for an optimized crystal structure of Mn2VMoH.

a b c (Å): 4.395 4.395 3.042
angles (deg): 90.00 90.00 90.00
Element x y z (fractional)
Mn  0.000  0.500  0.000
Mn  0.500  0.000  0.000
V  0.000  0.000  0.000
Mo  0.500  0.500  0.500
H  0.000  0.000  0.500

The space-group type is No. 123. The excess energy over the best structure of this formula in the dataset comes out at 750 meV per atom. The crystal system is tetragonal.



Density functional theory data (PBE) for an optimized crystal structure of Dy4CdGa2.

a b c (Å): 8.668 8.668 8.668
angles (deg): 34.05 34.05 34.05
Element x y z (fractional)
Dy  0.117  0.117  0.117
Dy  0.369  0.369  0.369
Dy  0.631  0.631  0.631
Dy  0.883  0.883  0.883
Cd  0.500  0.500  0.500
Ga  0.248  0.248  0.248
Ga  0.752  0.752  0.752

The space-group type is No. 166. The calculation puts the formation energy at -0.376 eV/atom. The excess energy over the best structure of this formula in the dataset comes out at 0 meV per atom. The crystal system is trigonal.



Density functional theory data (PBE) for an optimized crystal structure of Lu2OsS.

a b c (Å): 8.830 8.830 8.830
angles (deg): 22.00 22.00 22.00
Element x y z (fractional)
Lu  0.098  0.098  0.098
Lu  0.902  0.902  0.902
Os  0.000  0.000  0.000
S  0.500  0.500  0.500

The space-group type is No. 166. The excess energy over the best structure of this formula in the dataset comes out at 815 meV per atom. The calculation puts the raw formation energy at -0.6 eV/f.u. The crystal system is trigonal.



Density functional theory data (PBE) for an optimized crystal structure of BeTlW3.

a b c (Å): 4.335 4.335 4.335
angles (deg): 90.00 90.00 90.00
Element x y z (fractional)
Be  0.000  0.000  0.000
Tl  0.500  0.500  0.500
W  0.000  0.000  0.500
W  0.000  0.500  0.000
W  0.500  0.000  0.000

The space-group type is No. 221. The calculation puts the formation energy at 1.087 eV/atom. The excess energy over the best structure of this formula in the dataset comes out at 0 meV per atom. The crystal system is cubic.